Below is a relaxed LiGe3Pd7 crystal, with properties calculated at the PBE-GGA level.

Computed properties:
Magnetic moment (μB per cell): 0.000
Formation enthalpy at 0 K (eV per atom): -0.360
V (Å³ per atom): 16.43
Calculated density (g cm⁻³): 8.91
Raw total energy (eV for the cell shown): -112.16

abc: 8.1732 8.5900 5.2290
angles: 90.00 100.13 90.00
With the nearest neighbours (Å) after each atom.
Space group C2/m (No. 12)
Symmetry-distinct sites (fractional):
Li 0.0000 0.0000 0.0000 [2 per cell]  4 Pd 2.61-2.71
Ge 0.0000 0.2824 0.5000 [4 per cell]  7 Pd 2.43-2.61
Ge 0.0000 0.5000 0.0000 [2 per cell]  6 Pd 2.45-2.50
Pd 0.0000 0.0000 0.5000 [2 per cell]  2 Ge 2.43, 2 Li 2.61
Pd 0.1955 0.5000 0.6951 [4 per cell]  3 Ge 2.45-2.55, 1 Li 2.71
Pd 0.2256 0.3270 0.2284 [8 per cell]  3 Ge 2.50-2.61

=====

Below is a relaxed CaB2Mo crystal, with properties calculated at the PBE-GGA level.

Computed properties:
Magnetic moment (μB per cell): 0.000
Formation enthalpy at 0 K (eV per atom): 0.653
V (Å³ per atom): 19.64
Calculated density (g cm⁻³): 3.33
Raw total energy (eV for the cell shown): -94.31
Polymorph energy (0 for the lowest one) (meV/atom): 0

abc: 5.3390 5.3390 11.0231
angles: 90.00 90.00 90.00
With the nearest neighbours (Å) after each atom.
Space group I-42d (No. 122)
Symmetry-distinct sites (fractional):
Ca 0.0000 0.0000 0.0000 [4 per cell]  4 B 2.74
B 0.1348 0.2500 0.6250 [8 per cell]  2 Mo 2.05
Mo 0.0000 0.0000 0.5000 [4 per cell]  4 B 2.05

=====

Below is a relaxed Zr2Mo crystal, with properties calculated at the PBE-GGA level.

Computed properties:
Magnetic moment (μB per cell): 0.000
Formation enthalpy at 0 K (eV per atom): 0.181
V (Å³ per atom): 22.01
Calculated density (g cm⁻³): 7.00
Raw total energy (eV for the cell shown): -109.54
Polymorph energy (0 for the lowest one) (meV/atom): 182

abc: 3.3257 3.3257 23.8798
angles: 90.00 90.00 90.00
With the nearest neighbours (Å) after each atom.
Space group I4_1/amd (No. 141, origin choice 2)
Symmetry-distinct sites (fractional):
Zr 0.0000 0.2500 0.3093 [8 per cell]  4 Mo 2.83, 1 Zr 3.14
Mo 0.0000 0.2500 0.8750 [4 per cell]  8 Zr 2.83

=====

Below is a relaxed BaP2Pd2O7 crystal, with properties calculated at the PBE-GGA level.

Computed properties:
Magnetic moment (μB per cell): 6.213
V (Å³ per atom): 15.76
Calculated density (g cm⁻³): 4.60
Raw total energy (eV for the cell shown): -233.99
Energy relative to the elements, uncorrected (eV per atom): -1.680

abc: 5.3906 5.3906 22.5448
angles: 90.00 90.00 120.00
With the nearest neighbours (Å) after each atom.
Space group R32 (No. 155, hexagonal axes)
Symmetry-distinct sites (fractional):
Ba 0.0000 0.0000 0.0000 [3 per cell]  6 O 2.73
P 0.0000 0.0000 0.4293 [6 per cell]  4 O 1.54-1.59
Pd 0.0000 0.0000 0.1964 [6 per cell]  3 O 2.30
O 0.0000 0.0000 0.5000 [3 per cell]  2 P 1.59
O 0.0344 0.2892 0.4103 [18 per cell]  1 P 1.54

=====

Below is a relaxed NaMnNi2 crystal, with properties calculated at the PBE-GGA level.

Computed properties:
Magnetic moment (μB per cell): 16.712
Formation enthalpy at 0 K (eV per atom): 0.660
V (Å³ per atom): 15.22
Calculated density (g cm⁻³): 5.33
Raw total energy (eV for the cell shown): -77.64
Polymorph energy (0 for the lowest one) (meV/atom): 230

abc: 6.8124 6.8124 5.2465
angles: 90.00 90.00 90.00
With the nearest neighbours (Å) after each atom.
Space group I-42d (No. 122)
Symmetry-distinct sites (fractional):
Na 0.0000 0.0000 0.0000 [4 per cell]  2 Mn 2.62, 4 Ni 2.65
Mn 0.0000 0.0000 0.5000 [4 per cell]  4 Ni 2.35, 2 Na 2.62
Ni 0.2176 0.2500 0.6250 [8 per cell]  2 Mn 2.35

=====

Below is a relaxed Zr2Si2Au crystal, with properties calculated at the PBE-GGA level.

Computed properties:
Magnetic moment (μB per cell): 0.000
V (Å³ per atom): 17.61
Calculated density (g cm⁻³): 8.21
Raw total energy (eV for the cell shown): -69.95
Energy relative to the elements, uncorrected (eV per atom): -0.751
Polymorph energy (0 for the lowest one) (meV/atom): 30

abc: 6.7138 6.7138 3.9070
angles: 90.00 90.00 90.00
With the nearest neighbours (Å) after each atom.
Space group P4/mbm (No. 127)
Symmetry-distinct sites (fractional):
Zr 0.1769 0.3231 0.0000 [4 per cell]  6 Si 2.72-2.83
Si 0.1233 0.6233 0.5000 [4 per cell]  1 Si 2.34
Au 0.0000 0.0000 0.5000 [2 per cell]  4 Si 2.66